Here is a relaxed Ca3ZnHg2Rh3 crystal from Alexandria via LeMat-Bulk. Energies are from GGA-PBE.

Magnetization ... 0.00 Bohr magnetons per cell
ΔH_f (0 K) ... -0.36 eV per atom

a b c (Å): 4.018 7.361 7.361
angles (deg): 120.00 90.00 90.00
Atoms (fractional coordinates):
1 Ca 0.000 0.000 0.381
2 Ca 0.000 0.381 0.000
3 Ca 0.000 0.619 0.619
4 Rh 0.500 0.773 0.000
5 Rh 0.500 0.000 0.773
6 Rh 0.500 0.227 0.227
7 Hg 0.500 0.667 0.333
8 Hg 0.500 0.333 0.667
9 Zn 0.000 0.000 0.000